DFT (PBE) results for a relaxed LiRe2Rh crystal.

The structure in CIF format:
```
data_LiRe2Rh
_chemical_formula_sum 'Li4 Re8 Rh4'
_cell_length_a 6.062
_cell_length_b 6.062
_cell_length_c 6.062
_cell_angle_alpha 90.00
_cell_angle_beta 90.00
_cell_angle_gamma 90.00
_space_group_name_H-M_alt 'F m -3 m'
_space_group_IT_number 225
_space_group_name_Hall '-F 4 2 3'
loop_
_atom_site_label
_atom_site_fract_x
_atom_site_fract_y
_atom_site_fract_z
_atom_site_occupancy
Li1 0.000 0.000 0.000 1
Re1 0.250 0.250 0.250 1
Rh1 0.000 0.000 0.500 1
```

- energy of formation from the pure elements (eV/atom) = 0.580
- spin magnetization (μB per formula unit) = 0.00
- distance to the lowest polymorph of the same formula (kJ/mol of atoms) = 50.3